No. 1
An optimized crystal structure of Cs3NiBr5. Source: Alexandria, functional PBE.

The structure in POSCAR format:
```
Cs3NiBr5
1.0
-8.650 -4.537 1.064
-1.209 0.017 -9.751
8.472 -4.599 3.892
Ni Cs Br
2 6 10
direct
0.750 0.250 0.500
0.250 0.750 0.500
0.665 0.165 0.000
0.165 0.335 0.000
0.250 0.250 0.500
0.835 0.665 0.000
0.335 0.835 0.000
0.750 0.750 0.500
0.789 0.019 0.309
0.000 0.000 0.000
0.981 0.481 0.691
0.211 0.981 0.691
0.711 0.211 0.691
0.519 0.289 0.309
0.500 0.500 0.000
0.481 0.711 0.691
0.019 0.519 0.309
0.289 0.789 0.309
```

The space-group type is I4/mcm, No. 140. The calculated volume is 747 Å³/cell. The calculation puts the formation energy without anion corrections at -1.29 eV per atom.



No. 2
An optimized crystal structure of CrCdFe2. Source: Alexandria, functional PBE.

The structure in POSCAR format:
```
CrCdFe2
1.0
6.537 0.000 0.000
0.000 6.537 0.000
3.268 3.268 2.643
Cr Cd Fe
2 2 4
direct
0.250 0.750 0.500
0.500 0.500 0.000
0.750 0.250 0.500
0.000 0.000 0.000
0.375 0.433 0.750
0.183 0.625 0.250
0.567 0.125 0.250
0.875 0.817 0.750
```

The space-group type is I-42d, No. 122. The calculated volume is 113 Å³/cell. The energy relative to the elements is 752 meV/atom.



No. 3
An optimized crystal structure of RbAcInBi. Source: Alexandria, functional PBE.

The structure in POSCAR format:
```
RbAcInBi
1.0
5.974 0.000 0.000
2.987 5.173 0.000
2.987 1.724 4.878
In Bi Ac Rb
1 1 1 1
direct
0.250 0.250 0.250
0.750 0.750 0.750
0.500 0.500 0.500
0.000 0.000 0.000
```

The space-group type is F-43m, No. 216. The calculated volume is 151 Å³/cell. The energy relative to the elements is -229 meV/atom.



No. 4
An optimized crystal structure of Hg2Pd7Au3. Source: Alexandria, functional PBE.

The structure in POSCAR format:
```
Hg2Pd7Au3
1.0
-3.238 3.095 -1.113
-2.508 -1.285 3.720
6.156 7.857 3.936
Pd Au Hg
7 3 2
direct
0.500 0.929 0.857
0.000 0.426 0.853
0.000 0.574 0.147
0.500 0.071 0.143
0.000 0.718 0.435
0.000 0.282 0.565
0.000 0.000 0.000
0.500 0.500 0.000
0.500 0.649 0.298
0.500 0.351 0.702
0.000 0.852 0.703
0.000 0.148 0.297
```

The space-group type is Cmmm, No. 65. The calculated volume is 226 Å³/cell. The energy relative to the elements is 32 meV/atom.



No. 5
An optimized crystal structure of ScCoSiIr. Source: Alexandria, functional PBE.

The structure in POSCAR format:
```
ScCoSiIr
1.0
4.286 0.000 0.000
2.143 3.712 0.000
2.143 1.237 3.499
Ir Si Co Sc
1 1 1 1
direct
0.750 0.750 0.750
0.500 0.500 0.500
0.250 0.250 0.250
0.000 0.000 0.000
```

The space-group type is F-43m, No. 216. The calculated volume is 56 Å³/cell. The calculation puts the formation energy without anion corrections at -0.68 eV per atom.



No. 6
An optimized crystal structure of Zr7CoI12. Source: Alexandria, functional PBE.

The structure in POSCAR format:
```
Zr7CoI12
1.0
-7.625 4.851 -2.698
1.049 -7.605 -5.478
-0.925 -2.654 9.003
I Zr Co
12 7 1
direct
0.300 0.785 0.928
0.928 0.300 0.785
0.700 0.215 0.072
0.154 0.401 0.485
0.072 0.700 0.215
0.515 0.846 0.599
0.846 0.599 0.515
0.215 0.072 0.700
0.485 0.154 0.401
0.785 0.928 0.300
0.401 0.485 0.154
0.599 0.515 0.846
0.308 0.127 0.065
0.127 0.065 0.308
0.500 0.500 0.500
0.692 0.873 0.935
0.873 0.935 0.692
0.065 0.308 0.127
0.935 0.692 0.873
0.000 0.000 0.000
```

The space-group type is R-3, No. 148. The calculated volume is 638 Å³/cell. The calculation puts the formation energy without anion corrections at -0.74 eV per atom.



No. 7
An optimized crystal structure of Ba3OsN4. Source: Alexandria, functional PBE.

The structure in POSCAR format:
```
Ba3OsN4
1.0
5.907 0.000 0.000
0.000 8.576 0.000
0.000 0.000 8.936
N Ba Os
8 6 2
direct
0.489 0.500 0.883
0.308 0.000 0.864
0.879 0.824 0.835
0.379 0.676 0.165
0.879 0.176 0.835
0.989 0.000 0.117
0.808 0.500 0.136
0.379 0.324 0.165
0.473 0.764 0.714
0.973 0.736 0.286
0.980 0.500 0.872
0.480 0.000 0.128
0.473 0.236 0.714
0.973 0.264 0.286
0.004 0.000 0.909
0.504 0.500 0.091
```

The space-group type is Pmn2_1, No. 31. The calculated volume is 453 Å³/cell. The calculation puts the formation energy without anion corrections at -0.36 eV per atom.



No. 8
An optimized crystal structure of ScSnPd2. Source: Alexandria, functional PBE.

The structure in POSCAR format:
```
ScSnPd2
1.0
3.656 0.000 0.000
0.000 4.455 0.000
0.000 0.000 4.455
Sc Pd Sn
1 2 1
direct
0.500 0.500 0.500
0.000 0.000 0.500
0.000 0.500 0.000
0.500 0.000 0.000
```

The space-group type is P4/mmm, No. 123. The calculated volume is 73 Å³/cell. The energy relative to the elements is -755 meV/atom.



No. 9
An optimized crystal structure of Y2PtPb. Source: Alexandria, functional PBE.

The structure in POSCAR format:
```
Y2PtPb
1.0
-2.952 -1.168 4.047
-0.983 -4.920 1.131
2.096 -2.147 4.178
Pb Y Pt
1 2 1
direct
0.500 0.500 0.500
0.250 0.250 0.250
0.000 0.000 0.000
0.750 0.750 0.750
```

The space-group type is F-43m, No. 216. The calculated volume is 96 Å³/cell. The energy relative to the elements is -275 meV/atom.



No. 10
An optimized crystal structure of Zr3BiH. Source: Alexandria, functional PBE.

The structure in POSCAR format:
```
Zr3BiH
1.0
-5.858 -0.422 4.878
-5.835 -4.858 0.804
-1.976 -4.995 5.426
Zr H Bi
6 2 2
direct
0.581 0.881 0.211
0.211 0.581 0.881
0.119 0.789 0.419
0.419 0.119 0.789
0.881 0.211 0.581
0.789 0.419 0.119
0.836 0.836 0.836
0.164 0.164 0.164
0.669 0.669 0.669
0.331 0.331 0.331
```

The space-group type is R-3, No. 148. The calculated volume is 214 Å³/cell. Its electronic total energy is -6.65 eV per atom.



No. 11
An optimized crystal structure of SrPm8Sm6. Source: Alexandria, functional PBE.

The structure in POSCAR format:
```
SrPm8Sm6
1.0
7.860 -0.312 2.940
1.932 7.625 2.940
-0.418 -0.312 8.381
Pm Sr Sm
8 1 6
direct
0.054 0.859 0.386
0.765 0.765 0.765
0.946 0.141 0.614
0.859 0.386 0.054
0.235 0.235 0.235
0.141 0.614 0.946
0.386 0.054 0.859
0.614 0.946 0.141
0.000 0.000 0.000
0.619 0.172 0.431
0.828 0.569 0.381
0.172 0.431 0.619
0.431 0.619 0.172
0.569 0.381 0.828
0.381 0.828 0.569
```

The space-group type is R-3, No. 148. The calculated volume is 523 Å³/cell. The energy relative to the elements is 189 meV/atom.



No. 12
An optimized crystal structure of AcTb2Sm2Er2. Source: Alexandria, functional PBE.

The structure in POSCAR format:
```
AcTb2Sm2Er2
1.0
5.140 0.000 0.000
-2.570 5.708 0.274
0.000 -1.553 7.975
Tb Sm Er Ac
2 2 2 1
direct
0.715 0.429 0.151
0.285 0.571 0.849
0.574 0.148 0.709
0.426 0.852 0.291
0.857 0.714 0.566
0.143 0.286 0.434
0.000 0.000 0.000
```

The space-group type is C2/m, No. 12. The calculated volume is 236 Å³/cell. The energy relative to the elements is 41 meV/atom.